Computed, not measured: a relaxed Te2AsI2 crystal at the GGA-PBE level of DFT.

Properties
For the volume, the calculation gives 41.71 Å³ per atom. For the polymorph energy (0 for the lowest one), the calculation gives 0.000 eV/atom. Its uncorrected formation energy is 0.0903 eV/atom. The symmetry is C2/m (12).

```
Te2AsI2
1.0
-3.5274 7.6283 4.0546
-7.2393 1.2288 2.1277
-0.4565 1.3111 8.8597
I As Te
4 2 4
direct
0.1095 0.3497 0.2540 I
0.4592 0.6503 0.2540 I
0.5408 0.3497 0.7460 I
0.8905 0.6503 0.7460 I
0.8287 0.3425 0.0000 As
0.1713 0.6575 0.0000 As
0.1159 0.0000 0.7074 Te
0.2880 0.0000 0.8650 Te
0.8841 0.0000 0.2926 Te
0.7120 0.0000 0.1350 Te
```

Computed, not measured: a relaxed Te2AsI8 crystal at the GGA-PBE level of DFT.

Properties
For the volume, the calculation gives 50.26 Å³ per atom. Its uncorrected formation energy is 0.0177 eV/atom. The symmetry is C2/m (12).

```
Te2AsI8
1.0
7.2577 -1.0742 -0.7504
-0.0470 9.1031 0.2371
-0.0470 3.3554 8.4655
Te I As
2 8 1
direct
0.2705 0.7716 0.7716 Te
0.7295 0.2284 0.2284 Te
0.3678 0.6027 0.6027 I
0.1340 0.6902 0.1071 I
0.6322 0.3973 0.3973 I
0.6433 0.8783 0.8783 I
0.8660 0.3098 0.8929 I
0.1340 0.1071 0.6902 I
0.3567 0.1217 0.1217 I
0.8660 0.8929 0.3098 I
0.0000 0.0000 0.0000 As
```

Computed, not measured: a relaxed Te2As2I crystal at the GGA-PBE level of DFT.

Properties
For the volume, the calculation gives 29.00 Å³ per atom. For the polymorph energy (0 for the lowest one), the calculation gives 0.080 eV/atom. Its uncorrected formation energy is 0.1534 eV/atom. The symmetry is I4/mmm (139).

```
Te2As2I
1.0
5.4993 0.0000 0.0000
0.0000 5.4993 0.0000
2.7496 2.7496 4.7947
Te As I
2 2 1
direct
0.7500 0.2500 0.5000 Te
0.2500 0.7500 0.5000 Te
0.6427 0.6427 0.7146 As
0.3573 0.3573 0.2854 As
0.0000 0.0000 0.0000 I
```

Computed, not measured: a relaxed TeAsI2 crystal at the GGA-PBE level of DFT.

Properties
For the volume, the calculation gives 47.71 Å³ per atom. For the polymorph energy (0 for the lowest one), the calculation gives 0.000 eV/atom. Its uncorrected formation energy is -0.0132 eV/atom. The symmetry is P1 (1).

```
TeAsI2
1.0
3.9128 -1.3550 0.0221
-0.0294 6.9838 -1.7628
1.1959 0.6209 6.7388
As Te I
1 1 2
direct
0.7012 0.9278 0.6134 As
0.2934 0.0430 0.3816 Te
0.9923 0.9869 0.9814 I
0.5130 0.5423 0.5236 I
```

Computed, not measured: a relaxed TeAsI2 crystal at the GGA-PBE level of DFT.

Properties
For the volume, the calculation gives 45.59 Å³ per atom. For the polymorph energy (0 for the lowest one), the calculation gives 0.278 eV/atom. Its uncorrected formation energy is 0.2652 eV/atom. The symmetry is I-42d (122).

```
TeAsI2
1.0
-4.7624 5.2189 9.0529
-1.0729 -10.1404 5.2814
-0.4141 -2.1369 8.2975
As I Te
2 4 2
direct
0.2500 0.7500 0.5000 As
0.5000 0.5000 0.0000 As
0.3760 0.6250 0.2500 I
0.8750 0.6240 0.7500 I
0.3740 0.1250 0.2500 I
0.3750 0.6260 0.7500 I
0.0000 0.0000 0.0000 Te
0.7500 0.2500 0.5000 Te
```

Computed, not measured: a relaxed Te2As2I crystal at the GGA-PBE level of DFT.

Properties
For the volume, the calculation gives 31.07 Å³ per atom. For the polymorph energy (0 for the lowest one), the calculation gives 0.096 eV/atom. Its uncorrected formation energy is 0.1696 eV/atom. The symmetry is P4/mbm (127).

```
Te2As2I
1.0
-4.3912 -7.5164 1.9245
1.0202 -2.7515 -8.4185
3.3722 -1.7214 0.9713
As Te I
4 4 2
direct
0.7818 0.7182 0.0000 As
0.7182 0.2182 0.0000 As
0.2182 0.2818 0.0000 As
0.2818 0.7818 0.0000 As
0.1392 0.6392 0.5000 Te
0.8608 0.3608 0.5000 Te
0.6392 0.8608 0.5000 Te
0.3608 0.1392 0.5000 Te
0.5000 0.5000 0.0000 I
0.0000 0.0000 0.0000 I
```

Computed, not measured: a relaxed Te2As2I crystal at the GGA-PBE level of DFT.

Properties
For the volume, the calculation gives 33.82 Å³ per atom. For the polymorph energy (0 for the lowest one), the calculation gives 0.171 eV/atom. Its uncorrected formation energy is 0.2444 eV/atom. The symmetry is P4/mbm (127).

```
Te2As2I
1.0
-5.4345 -3.8832 7.2675
4.4612 -8.7060 -1.3159
2.4365 0.9004 2.3031
As Te I
4 4 2
direct
0.9129 0.4129 0.5000 As
0.4129 0.0871 0.5000 As
0.5871 0.9129 0.5000 As
0.0871 0.5871 0.5000 As
0.1449 0.3551 0.0000 Te
0.8551 0.6449 0.0000 Te
0.6449 0.1449 0.0000 Te
0.3551 0.8551 0.0000 Te
0.0000 0.0000 0.0000 I
0.5000 0.5000 0.0000 I
```

Computed, not measured: a relaxed Te7As5I crystal at the GGA-PBE level of DFT.

Properties
For the volume, the calculation gives 31.57 Å³ per atom. For the polymorph energy (0 for the lowest one), the calculation gives 0.000 eV/atom. Its uncorrected formation energy is -0.0241 eV/atom. The symmetry is Cm (8).

```
Te7As5I
1.0
-0.3409 -7.7644 -1.3453
3.6292 -6.8558 -1.4281
1.8549 -7.0008 12.1027
Te I As
7 1 5
direct
0.1659 0.1659 0.6335 Te
0.1077 0.1077 0.3254 Te
0.5157 0.5157 0.1470 Te
0.4847 0.4847 0.8623 Te
0.8946 0.8946 0.6577 Te
0.8235 0.8235 0.3811 Te
0.8050 0.8050 0.0941 Te
0.2128 0.2128 0.9079 I
0.9955 0.9955 0.0079 As
0.6745 0.6745 0.7692 As
0.6377 0.6377 0.4411 As
0.3561 0.3561 0.5475 As
0.3264 0.3264 0.2253 As
```

Computed, not measured: a relaxed TeAs2I crystal at the GGA-PBE level of DFT.

Properties
For the volume, the calculation gives 24.80 Å³ per atom. Its uncorrected formation energy is 0.5809 eV/atom. The symmetry is Fm-3m (225).

```
TeAs2I
1.0
2.3362 0.1443 4.6387
1.0022 4.5684 2.2630
-2.6732 1.4552 4.2110
As Te I
2 1 1
direct
0.2500 0.2500 0.2500 As
0.7500 0.7500 0.7500 As
0.0000 0.0000 0.0000 Te
0.5000 0.5000 0.5000 I
```

Computed, not measured: a relaxed TiTeAsI2 crystal at the GGA-PBE level of DFT.

Properties
For the volume, the calculation gives 33.50 Å³ per atom. For the polymorph energy (0 for the lowest one), the calculation gives 0.000 eV/atom. Its uncorrected formation energy is 0.1999 eV/atom. The symmetry is P4/mmm (123).

```
TiTeAsI2
1.0
-1.8259 -2.9542 4.3003
5.2131 -0.8515 1.6285
-0.2062 4.5556 3.0420
As I Te Ti
1 2 1 1
direct
0.5000 0.5000 0.5000 As
0.0000 0.5000 0.0000 I
0.5000 0.0000 0.0000 I
0.0000 0.0000 0.5000 Te
0.0000 0.0000 0.0000 Ti
```

Computed, not measured: a relaxed TiTeAsI2 crystal at the GGA-PBE level of DFT.

Properties
For the volume, the calculation gives 34.34 Å³ per atom. For the polymorph energy (0 for the lowest one), the calculation gives 0.496 eV/atom. Its uncorrected formation energy is 0.6955 eV/atom. The symmetry is P4/mmm (123).

```
TiTeAsI2
1.0
-3.9613 -3.5840 1.2492
1.7685 -0.1452 5.1912
-3.4923 4.3166 1.3104
I As Ti Te
2 1 1 1
direct
0.0000 0.5000 0.0000 I
0.5000 0.0000 0.0000 I
0.0000 0.0000 0.0000 As
0.5000 0.5000 0.5000 Ti
0.0000 0.0000 0.5000 Te
```

Computed, not measured: a relaxed VTe2AsI crystal at the GGA-PBE level of DFT.

Properties
For the volume, the calculation gives 30.01 Å³ per atom. For the polymorph energy (0 for the lowest one), the calculation gives 0.000 eV/atom. Its uncorrected formation energy is 0.4811 eV/atom. The symmetry is P4/mmm (123).

```
VTe2AsI
1.0
-3.7413 -0.4961 -3.6505
0.6451 -5.2107 0.0469
-3.7598 -0.4302 3.9118
Te I As V
2 1 1 1
direct
0.5000 0.0000 0.0000 Te
0.0000 0.5000 0.0000 Te
0.0000 0.0000 0.5000 I
0.5000 0.5000 0.5000 As
0.0000 0.0000 0.0000 V
```

Computed, not measured: a relaxed VTe2AsI crystal at the GGA-PBE level of DFT.

Properties
For the volume, the calculation gives 32.64 Å³ per atom. For the polymorph energy (0 for the lowest one), the calculation gives 0.558 eV/atom. Its uncorrected formation energy is 1.0393 eV/atom. The symmetry is P4/mmm (123).

```
VTe2AsI
1.0
-0.5384 -1.2122 5.3168
2.8254 -4.6316 -0.7699
4.6255 2.6436 1.0711
V Te As I
1 2 1 1
direct
0.5000 0.5000 0.5000 V
0.5000 0.0000 0.0000 Te
0.0000 0.5000 0.0000 Te
0.0000 0.0000 0.0000 As
0.0000 0.0000 0.5000 I
```

Computed, not measured: a relaxed TeAsWI2 crystal at the GGA-PBE level of DFT.

Properties
For the volume, the calculation gives 30.63 Å³ per atom. For the polymorph energy (0 for the lowest one), the calculation gives 0.000 eV/atom. Its uncorrected formation energy is 0.9601 eV/atom. The symmetry is P4/mmm (123).

```
TeAsWI2
1.0
-2.8678 -4.5490 0.0660
4.5405 -2.8570 0.3792
-0.2813 0.2539 5.2809
Te W I As
1 1 2 1
direct
0.0000 0.0000 0.5000 Te
0.0000 0.0000 0.0000 W
0.5000 0.0000 0.0000 I
0.0000 0.5000 0.0000 I
0.5000 0.5000 0.5000 As
```

Computed, not measured: a relaxed TeAsWI2 crystal at the GGA-PBE level of DFT.

Properties
For the volume, the calculation gives 34.32 Å³ per atom. For the polymorph energy (0 for the lowest one), the calculation gives 0.474 eV/atom. Its uncorrected formation energy is 1.4341 eV/atom. The symmetry is P4/mmm (123).

```
TeAsWI2
1.0
-2.3717 3.3730 3.6029
3.2292 -1.9624 3.9628
3.9016 4.0155 -1.1909
I As Te W
2 1 1 1
direct
0.0000 0.5000 0.0000 I
0.5000 0.0000 0.0000 I
0.0000 0.0000 0.0000 As
0.0000 0.0000 0.5000 Te
0.5000 0.5000 0.5000 W
```

Computed, not measured: a relaxed YTe2AsI crystal at the GGA-PBE level of DFT.

Properties
For the volume, the calculation gives 41.47 Å³ per atom. For the polymorph energy (0 for the lowest one), the calculation gives 0.111 eV/atom. Its uncorrected formation energy is 0.0306 eV/atom. The symmetry is P4/mmm (123).

```
YTe2AsI
1.0
-2.9974 2.3936 -4.5390
-0.7210 -5.4009 -2.3719
-5.0194 -0.6379 2.9782
Te As Y I
2 1 1 1
direct
0.5000 0.0000 0.0000 Te
0.0000 0.5000 0.0000 Te
0.5000 0.5000 0.5000 As
0.0000 0.0000 0.0000 Y
0.0000 0.0000 0.5000 I
```

Computed, not measured: a relaxed YTeAsI2 crystal at the GGA-PBE level of DFT.

Properties
For the volume, the calculation gives 34.49 Å³ per atom. For the polymorph energy (0 for the lowest one), the calculation gives 0.225 eV/atom. Its uncorrected formation energy is 0.0287 eV/atom. The symmetry is P4/mmm (123).

```
YTeAsI2
1.0
-3.3109 -1.3087 4.1885
-0.2885 -5.1706 -1.8437
4.5455 -1.3809 3.1616
As Te Y I
1 1 1 2
direct
0.0000 0.0000 0.0000 As
0.0000 0.0000 0.5000 Te
0.5000 0.5000 0.5000 Y
0.0000 0.5000 0.0000 I
0.5000 0.0000 0.0000 I
```

Computed, not measured: a relaxed YTeAsI2 crystal at the GGA-PBE level of DFT.

Properties
For the volume, the calculation gives 42.92 Å³ per atom. For the polymorph energy (0 for the lowest one), the calculation gives 0.000 eV/atom. Its uncorrected formation energy is -0.1959 eV/atom. The symmetry is P4/mmm (123).

```
YTeAsI2
1.0
-1.4796 5.5804 1.3194
-3.4733 0.2120 -4.7919
-4.7139 -2.0364 3.3267
Y I As Te
1 2 1 1
direct
0.0000 0.0000 0.0000 Y
0.5000 0.0000 0.0000 I
0.0000 0.5000 0.0000 I
0.5000 0.5000 0.5000 As
0.0000 0.0000 0.5000 Te
```

Computed, not measured: a relaxed YTe2AsI crystal at the GGA-PBE level of DFT.

Properties
For the volume, the calculation gives 32.67 Å³ per atom. For the polymorph energy (0 for the lowest one), the calculation gives 0.000 eV/atom. Its uncorrected formation energy is -0.0804 eV/atom. The symmetry is P4/mmm (123).

```
YTe2AsI
1.0
-0.4321 5.4617 -0.7383
-5.4415 -0.5403 -0.8122
-0.8455 0.6412 5.2383
As Te I Y
1 2 1 1
direct
0.0000 0.0000 0.0000 As
0.0000 0.5000 0.0000 Te
0.5000 0.0000 0.0000 Te
0.0000 0.0000 0.5000 I
0.5000 0.5000 0.5000 Y
```

Computed, not measured: a relaxed ZrTe2AsI crystal at the GGA-PBE level of DFT.

Properties
For the volume, the calculation gives 31.65 Å³ per atom. For the polymorph energy (0 for the lowest one), the calculation gives 0.365 eV/atom. Its uncorrected formation energy is 0.5340 eV/atom. The symmetry is P4/mmm (123).

```
ZrTe2AsI
1.0
5.4486 0.0000 0.0000
0.0000 5.4486 0.0000
0.0000 0.0000 5.3303
As Te Zr I
1 2 1 1
direct
0.0000 0.0000 0.0000 As
0.0000 0.5000 0.0000 Te
0.5000 0.0000 0.0000 Te
0.5000 0.5000 0.5000 Zr
0.0000 0.0000 0.5000 I
```